No. 1
4
Lattice="-3.9879 2.3733 -1.1761 -3.9998 -2.4124 -1.0492 -3.7117 0.0894 3.0223" Properties=species:S:1:pos:R:3 comment="ErScGeRh PBE relaxed" e_form_ev_per_atom=-0.77 energy_ev_per_atom=-6.48 pbc="T T T"
Ge -2.9248 0.0126 0.1992
Er 0.0000 0.0000 0.0000
Rh -8.7745 0.0377 0.5977
Sc -5.8497 0.0251 0.3985



No. 2
20
Lattice="-2.4891 0.6552 -2.5163 -1.8563 -9.6203 -0.6688 -6.8469 0.8353 6.9904" Properties=species:S:1:pos:R:3 comment="Er2ScGe2Rh5 PBE relaxed" e_form_ev_per_atom=-0.89 energy_ev_per_atom=-7.03 pbc="T T T"
Sc -4.3516 -4.3925 3.1608
Sc 0.0000 0.0000 0.0000
Rh -6.7758 0.3302 4.2139
Rh -2.1030 -1.6420 -0.9219
Rh -4.0271 -3.5842 0.4757
Rh -4.4166 -8.4600 -0.4086
Rh -9.0894 -6.4878 4.7272
Rh -4.6680 0.7452 2.2370
Rh -7.1653 -4.5456 3.3296
Rh -5.5199 -6.1486 1.2846
Rh -5.6725 -1.9812 2.5207
Rh -2.1727 -4.4825 -1.5925
Er -2.5599 -1.3915 2.1699
Er -2.4341 -6.3302 0.7595
Er -6.2691 -2.4548 5.5622
Er -6.1433 -7.3935 4.1517
Ge -4.1909 -8.1035 2.0355
Ge -4.5123 -0.6815 4.2861
Ge -7.1507 -5.2830 5.6977
Ge -1.5526 -3.5020 0.6239



No. 3
5
Lattice="4.1192 0.0000 0.0000 0.0000 4.1192 -0.0001 0.0000 0.0001 6.2391" Properties=species:S:1:pos:R:3 comment="ErSiGeRh2 PBE relaxed" energy_ev_per_atom=-6.45 e_form_raw_mev_per_atom=-588.7 pbc="T T T"
Er 0.0000 4.1192 3.2842
Si 0.0000 0.0000 0.4152
Ge 2.0596 2.0598 4.0494
Rh 0.0000 2.0597 5.4842
Rh 2.0596 4.1192 5.4841



No. 4
5
Lattice="4.2741 0.0000 0.0000 0.0000 4.2741 0.0000 -2.1371 -2.1371 4.9374" Properties=species:S:1:pos:R:3 comment="ErTcGe2Rh PBE relaxed" e_form_ev_per_atom=-0.66 energy_ev_per_atom=-6.96 pbc="T T T"
Ge 2.1371 2.1371 1.2644
Ge 0.0000 0.0000 3.6730
Tc 2.1371 0.0000 2.4687
Rh 0.0000 2.1371 2.4687
Er 0.0000 0.0000 0.0000



No. 5
12
Lattice="-3.9684 -1.2793 -5.7952 7.0962 -0.7235 -0.2982 -1.6711 -6.1968 3.9903" Properties=species:S:1:pos:R:3 comment="Er6GeTe3Rh2 PBE relaxed" energy_ev_per_atom=-5.72 e_form_raw_mev_per_atom=-1039.6 pbc="T T T"
Er -0.4708 -5.4299 1.4966
Er 2.2975 -1.7000 0.3191
Er -0.8408 -6.4996 -2.4222
Er -1.4975 -1.8906 -1.5663
Er 1.9275 -2.7697 -3.5997
Er 2.9542 -6.3090 -0.5369
Rh -0.2778 -1.0939 -3.9617
Rh 3.4056 -0.9089 -2.1317
Ge 0.0000 0.0000 0.0000
Te 0.7283 -4.0998 -1.0516
Te 4.4440 -3.9132 0.7944
Te -2.9873 -4.2864 -2.8975



No. 6
10
Lattice="-1.1221 3.3991 -2.1003 -3.9893 -1.0752 0.3912 -0.6149 5.8395 9.7792" Properties=species:S:1:pos:R:3 comment="ErTh2Ge3Rh4 PBE relaxed" e_form_ev_per_atom=-0.90 energy_ev_per_atom=-7.17 pbc="T T T"
Rh 0.0000 0.0000 0.0000
Rh -2.2016 1.4275 3.4865
Rh -2.5557 1.1619 -0.8545
Rh -0.9690 5.5740 5.4382
Er -2.8632 4.0817 4.0351
Ge -2.0691 0.1694 1.3796
Ge -0.3075 2.9198 4.8896
Ge -1.1015 6.8321 7.5451
Th -0.7032 3.0489 1.2096
Th -2.4675 3.9525 7.7150



No. 7
20
Lattice="-1.7800 -2.2466 -2.1615 -0.6123 -6.4546 7.2127 -8.4000 3.9450 2.8173" Properties=species:S:1:pos:R:3 comment="Er2TiGe2Rh5 PBE relaxed" e_form_ev_per_atom=-0.83 energy_ev_per_atom=-7.13 pbc="T T T"
Ge -5.3356 1.6563 2.6725
Ge -1.2874 -1.9169 3.0525
Ge -3.6767 -4.1659 7.3575
Ge -7.7249 -0.5927 6.9775
Er -2.8548 0.1761 2.1679
Er -6.1576 -2.6857 7.8621
Er -1.8629 -3.6608 5.3389
Er -7.1494 1.1512 4.6911
Ti 0.0000 0.0000 0.0000
Ti -4.5062 -1.2548 5.0150
Rh -7.1526 -2.0001 4.9877
Rh -5.0900 0.8492 0.3279
Rh -1.5718 -2.1802 0.5792
Rh -7.6148 1.5881 1.6391
Rh -4.9645 -3.9580 5.2208
Rh -1.1962 -4.3506 2.5256
Rh -5.8279 -0.7982 2.6477
Rh -9.2205 -2.5759 7.2892
Rh -3.1775 -6.3443 6.2294
Rh -3.6398 -2.7561 2.8807



No. 8
20
Lattice="-2.9628 -0.3526 2.1029 -4.1500 -5.8060 -6.8204 4.0036 -7.9266 4.3116" Properties=species:S:1:pos:R:3 comment="ErTm2Ge2Rh5 PBE relaxed" e_form_ev_per_atom=-0.89 energy_ev_per_atom=-6.84 pbc="T T T"
Rh -2.1234 -4.9319 -0.6504
Rh -1.0172 -12.1050 -0.2948
Rh -0.3818 -6.3518 1.5651
Rh 0.5204 -4.1396 3.2072
Rh -0.9858 -9.1533 0.2445
Rh -3.5564 -3.0793 -2.3588
Rh 1.3707 -6.8076 3.9578
Rh -2.7273 -7.7335 -1.9711
Rh -2.0919 -1.9803 -0.1112
Rh -4.4798 -7.2776 -4.3638
Er 0.0000 0.0000 0.0000
Er -0.0732 -6.8663 -1.2544
Ge -1.0622 -3.1664 -2.0275
Ge 1.9836 -5.6691 1.8441
Ge 0.9159 -10.5662 -0.4814
Ge -2.1300 -8.0635 -4.3530
Tm 1.9539 -8.4588 1.3345
Tm -2.1002 -5.2738 -3.8434
Tm -0.7405 -10.1354 -2.7428
Tm 0.5942 -3.5972 0.2340



No. 9
20
Lattice="-0.7926 -0.9430 -3.4386 4.9293 -8.5745 1.2154 -8.3860 -4.3768 3.1332" Properties=species:S:1:pos:R:3 comment="Y2ErGe2Rh5 PBE relaxed" e_form_ev_per_atom=-0.87 energy_ev_per_atom=-7.22 pbc="T T T"
Rh 0.0851 -2.6261 -1.2394
Rh -4.5893 -2.6599 -0.1527
Rh -6.6300 -4.4992 0.8221
Rh -0.4783 -8.4938 0.4997
Rh 2.0684 -4.7588 -1.1116
Rh -3.7710 -5.4005 0.4103
Rh -4.3344 -11.2682 2.1494
Rh -0.6571 -5.4070 -0.3056
Rh 2.3807 -9.3951 0.0879
Rh -3.5922 -8.4874 1.2157
Ge -4.2777 -9.1822 3.5042
Ge 0.8210 -3.7691 0.8444
Ge -4.6197 -3.7871 2.1034
Ge 1.1630 -9.1642 2.2452
Y -1.5723 -10.0351 3.1145
Y -5.3220 -6.4186 2.9870
Y -1.8844 -2.9162 1.2341
Y 1.8653 -6.5327 1.3616
Er -1.7283 -6.4757 2.1743
Er 0.0000 0.0000 0.0000



No. 10
10
Lattice="-1.0411 -3.2657 -2.3451 1.5126 -2.5627 2.8971 -9.3251 -0.3201 4.5857" Properties=species:S:1:pos:R:3 comment="Er2ZnGe4Rh3 PBE relaxed" e_form_ev_per_atom=-0.70 energy_ev_per_atom=-5.79 pbc="T T T"
Ge 0.2357 -2.9142 0.2760
Ge -2.5978 -1.3965 3.0980
Ge 0.0000 0.0000 0.0000
Ge -6.4915 -1.8378 1.7637
Rh -4.6625 -0.1601 2.2928
Rh -0.4381 -1.3223 2.0359
Rh -8.6512 -1.9120 2.8257
Zn -4.4268 -3.0742 2.5688
Er -2.7886 -1.7107 -0.0572
Er -6.3007 -1.5236 4.9189



No. 11
10
Lattice="-1.2648 -3.4314 1.9450 0.1297 -2.0776 -3.5810 9.8036 -2.5679 1.8448" Properties=species:S:1:pos:R:3 comment="Er2ZnGe3Rh4 PBE relaxed" e_form_ev_per_atom=-0.80 energy_ev_per_atom=-6.17 pbc="T T T"
Ge 4.9018 -1.2840 0.9224
Ge 1.3478 -1.3748 -1.5491
Ge 7.8882 -3.9476 2.5758
Er 1.8172 -2.3573 1.4334
Er 7.4189 -2.9651 -0.4067
Rh 0.0000 0.0000 0.0000
Rh -0.5676 -2.7545 -0.8180
Rh 5.6094 -3.3506 2.1470
Rh 3.6266 -1.9718 -1.1203
Zn 4.3342 -4.0384 0.1044



No. 12
20
Lattice="3.5457 0.0000 0.0000 0.0000 9.6954 0.0000 0.0000 0.0000 9.6954" Properties=species:S:1:pos:R:3 comment="Er2ZnGe2Rh5 PBE relaxed" e_form_ev_per_atom=-0.78 energy_ev_per_atom=-6.42 pbc="T T T"
Rh 1.7728 5.4956 6.8354
Rh 1.7728 1.9878 0.6479
Rh 1.7728 7.7076 9.0475
Rh 1.7728 9.0475 1.9878
Rh 1.7728 0.0000 4.8477
Rh 1.7728 6.8354 4.1998
Rh 1.7728 4.1998 2.8599
Rh 1.7728 4.8477 0.0000
Rh 1.7728 2.8599 5.4956
Rh 1.7728 0.6479 7.7076
Ge 0.0000 3.6149 1.2328
Ge 0.0000 8.4626 3.6149
Ge 0.0000 6.0804 8.4626
Ge 0.0000 1.2328 6.0804
Zn 0.0000 0.0000 0.0000
Zn 0.0000 4.8477 4.8477
Er 0.0000 6.5217 1.6740
Er 0.0000 8.0214 6.5217
Er 0.0000 1.6740 3.1737
Er 0.0000 3.1737 8.0214